VASP calculation (meta-GGA SCAN) on a PBEsol-optimized structure of SrPt4Pb.

Cell lengths 5.433, 5.433, 5.433 Å; angles 60.00, 60.00, 60.00 degrees
Element x y z (fractional)
Pb 0.000 0.000 0.000
Sr 0.750 0.750 0.750
Pt 0.375 0.375 0.375
Pt 0.375 0.375 0.876
Pt 0.876 0.375 0.375
Pt 0.375 0.876 0.375

Computed properties:
Space group: F-43m, No. 216
Crystal system: cubic

---

VASP calculation (meta-GGA SCAN) on a PBEsol-optimized structure of Sr4PtPb.

Cell lengths 6.487, 6.487, 6.487 Å; angles 60.00, 60.00, 60.00 degrees
Element x y z (fractional)
Pb 0.750 0.750 0.750
Pt 0.000 0.000 0.000
Sr 0.375 0.375 0.375
Sr 0.375 0.375 0.876
Sr 0.876 0.375 0.375
Sr 0.375 0.876 0.375

Computed properties:
Space group: F-43m, No. 216
Crystal system: cubic

---

VASP calculation (meta-GGA SCAN) on a PBEsol-optimized structure of SrPtPb2.

Cell lengths 4.562, 5.144, 5.144 Å; angles 109.44, 90.00, 90.00 degrees
Element x y z (fractional)
Pb 0.000 0.686 0.314
Pb 0.000 0.314 0.686
Sr 0.500 0.000 0.000
Pt 0.500 0.500 0.500

Computed properties:
Space group: Cmmm, No. 65
Crystal system: orthorhombic

---

Number 1: ΔE_f -58.3 kJ/mol of atoms, DFT total energy -63.742 eV per atom. Number 2: ΔE_f 37.8 kJ/mol of atoms, DFT total energy -38.787 eV per atom. Number 3: ΔE_f -59.4 kJ/mol of atoms, DFT total energy -61.624 eV per atom.